MgReSb | PBE | optimized geometry

Results
Symmetry: No. 216
Electronic total energy: -5.534 eV/atom

Unit cell a=4.470 b=4.470 c=4.470 alpha=60.00 beta=60.00 gamma=60.00
Atoms (fractional coordinates):
Sb  0.750  0.750  0.750
Mg  0.250  0.250  0.250
Re  0.000  0.000  0.000

MgReSiSb | PBE | optimized geometry

Results
Symmetry: No. 216
Electronic total energy: -5.554 eV/atom

Unit cell a=4.587 b=4.587 c=4.587 alpha=60.00 beta=60.00 gamma=60.00
Atoms (fractional coordinates):
Mg  0.750  0.750  0.750
Si  0.500  0.500  0.500
Sb  0.000  0.000  0.000
Re  0.250  0.250  0.250

MgZrReSb | PBE | optimized geometry

Results
Symmetry: No. 216
Electronic total energy: -6.671 eV/atom

Unit cell a=4.702 b=4.702 c=4.702 alpha=60.00 beta=60.00 gamma=60.00
Atoms (fractional coordinates):
Sb  0.500  0.500  0.500
Mg  0.750  0.750  0.750
Re  0.250  0.250  0.250
Zr  0.000  0.000  0.000

MgZrReSb | PBE | optimized geometry

Results
Symmetry: No. 216
Electronic total energy: -6.429 eV/atom

Unit cell a=4.733 b=4.733 c=4.733 alpha=60.00 beta=60.00 gamma=60.00
Atoms (fractional coordinates):
Sb  0.250  0.250  0.250
Re  0.500  0.500  0.500
Mg  0.750  0.750  0.750
Zr  0.000  0.000  0.000

MgScReTe | PBE | optimized geometry

Results
Symmetry: No. 216
Electronic total energy: -5.657 eV/atom

Unit cell a=4.709 b=4.709 c=4.709 alpha=60.00 beta=60.00 gamma=60.00
Atoms (fractional coordinates):
Mg  0.750  0.750  0.750
Te  0.000  0.000  0.000
Sc  0.500  0.500  0.500
Re  0.250  0.250  0.250

MgScReTe | PBE | optimized geometry

Results
Symmetry: No. 216
Electronic total energy: -5.677 eV/atom

Unit cell a=4.718 b=4.718 c=4.718 alpha=60.00 beta=60.00 gamma=60.00
Atoms (fractional coordinates):
Te  0.250  0.250  0.250
Re  0.000  0.000  0.000
Mg  0.750  0.750  0.750
Sc  0.500  0.500  0.500

| no. | V (Å³/cell) |
| --- | --- |
| 1 | 63.15 |
| 2 | 68.22 |
| 3 | 73.50 |
| 4 | 74.97 |
| 5 | 73.82 |
| 6 | 74.27 |